No. 1
VASP calculation (PBE) on a relaxed structure of AcGaSbO6.

Computed properties:
mass density = 6.514 g/cm3
crystal system = trigonal

The structure in CIF format:
```
data_AcGaSbO6
_symmetry_space_group_name_H-M 'P -3 1 c'
_symmetry_Int_Tables_number 163
_symmetry_space_group_name_Hall '-P 3 2c'
_cell_length_a 5.3040
_cell_length_b 5.3040
_cell_length_c 10.7661
_cell_angle_alpha 90.00
_cell_angle_beta 90.00
_cell_angle_gamma 120.00
loop_
_atom_site_label
_atom_site_type_symbol
_atom_site_fract_x
_atom_site_fract_y
_atom_site_fract_z
Ac1 Ac 0.0000 0.0000 0.0000
Ga1 Ga 0.3333 0.6667 0.2500
Sb1 Sb 0.3333 0.6667 0.7500
O1 O 0.0007 0.3761 0.6456
```

---

No. 2
VASP calculation (PBE) on a relaxed structure of Ac2GaSbO6.

Computed properties:
mass density = 7.575 g/cm3
crystal system = tetragonal

The structure in CIF format:
```
data_Ac2GaSbO6
_symmetry_space_group_name_H-M 'P 4 m m'
_symmetry_Int_Tables_number 99
_symmetry_space_group_name_Hall 'P 4 -2'
_cell_length_a 5.6067
_cell_length_b 5.6067
_cell_length_c 5.1706
_cell_angle_alpha 90.00
_cell_angle_beta 90.00
_cell_angle_gamma 90.00
loop_
_atom_site_label
_atom_site_type_symbol
_atom_site_fract_x
_atom_site_fract_y
_atom_site_fract_z
Ac1 Ac 0.0000 0.5000 0.0000
Ga1 Ga 0.0000 0.0000 0.5590
Sb1 Sb 0.5000 0.5000 0.5989
O1 O 0.0000 0.0000 0.1975
O2 O 0.2337 0.2337 0.6976
O3 O 0.5000 0.5000 0.0030
```

---

No. 3
VASP calculation (PBE) on a relaxed structure of Ac2ScGaO6.

Computed properties:
mass density = 8.330 g/cm3
crystal system = cubic

The structure in CIF format:
```
data_Ac2ScGaO6
_symmetry_space_group_name_H-M 'F m -3 m'
_symmetry_Int_Tables_number 225
_symmetry_space_group_name_Hall '-F 4 2 3'
_cell_length_a 8.0928
_cell_length_b 8.0928
_cell_length_c 8.0928
_cell_angle_alpha 90.00
_cell_angle_beta 90.00
_cell_angle_gamma 90.00
loop_
_atom_site_label
_atom_site_type_symbol
_atom_site_fract_x
_atom_site_fract_y
_atom_site_fract_z
Ac1 Ac 0.2500 0.2500 0.2500
Sc1 Sc 0.0000 0.0000 0.0000
Ga1 Ga 0.0000 0.0000 0.5000
O1 O 0.0000 0.0000 0.2550
```

---

No. 4
VASP calculation (PBE) on a relaxed structure of Ac3ScGa2O9.

Computed properties:
mass density = 8.568 g/cm3
crystal system = trigonal

The structure in CIF format:
```
data_Ac3ScGa2O9
_symmetry_space_group_name_H-M 'P -3 m 1'
_symmetry_Int_Tables_number 164
_symmetry_space_group_name_Hall '-P 3 2"'
_cell_length_a 5.6868
_cell_length_b 5.6868
_cell_length_c 6.9846
_cell_angle_alpha 90.00
_cell_angle_beta 90.00
_cell_angle_gamma 120.00
loop_
_atom_site_label
_atom_site_type_symbol
_atom_site_fract_x
_atom_site_fract_y
_atom_site_fract_z
Ac1 Ac 0.0000 0.0000 0.0000
Ac2 Ac 0.3333 0.6667 0.6762
Sc1 Sc 0.0000 0.0000 0.5000
Ga1 Ga 0.3333 0.6667 0.1672
O1 O 0.0000 0.5000 0.0000
O2 O 0.1696 0.3392 0.3272
```

---

Asked for E_form (uncorrected) across the records above, the calculation gives -192.5 -229.5 -294.1 -281.3 kJ/mol of atoms in order.
Asked for calculated volume across the records above, the calculation gives 262.3 162.5 530.0 195.6 Å³ per cell in order.